Entry 1:
ZrInP2S: relaxed, GGA-PBE.

```
data_ZrInP2S
_chemical_formula_sum 'Zr1 In1 P2 S1'
_cell_length_a 5.0902
_cell_length_b 5.0902
_cell_length_c 5.1857
_cell_angle_alpha 90.00
_cell_angle_beta 90.00
_cell_angle_gamma 90.00
_space_group_name_H-M_alt 'P 4/m m m'
_space_group_IT_number 123
_space_group_name_Hall '-P 4 2'
loop_
_atom_site_label
_atom_site_type_symbol
_atom_site_fract_x
_atom_site_fract_y
_atom_site_fract_z
Zr1 Zr 0.0000 0.0000 0.0000
In1 In 0.5000 0.5000 0.5000
P1 P 0.0000 0.5000 0.5000
S1 S 0.5000 0.5000 0.0000
```

Values from the calculation:
The calculation puts the uncorrected formation energy at 816.8 meV per atom.

Entry 2:
Ti4GaMo: relaxed, GGA-PBE.

```
data_Ti4GaMo
_chemical_formula_sum 'Ti12 Ga3 Mo3'
_cell_length_a 4.3753
_cell_length_b 4.3753
_cell_length_c 20.6962
_cell_angle_alpha 90.00
_cell_angle_beta 90.00
_cell_angle_gamma 120.00
_space_group_name_H-M_alt 'R -3 m'
_space_group_IT_number 166
_space_group_name_Hall '-R 3 2"'
loop_
_atom_site_label
_atom_site_type_symbol
_atom_site_fract_x
_atom_site_fract_y
_atom_site_fract_z
Ti1 Ti 0.0000 0.0000 0.1210
Ti2 Ti 0.0000 0.0000 0.3704
Ga1 Ga 0.0000 0.0000 0.5000
Mo1 Mo 0.0000 0.0000 0.0000
```

Values from the calculation:
The formation energy is 0.244 eV/atom.

Entry 3:
PbSe3: relaxed, GGA-PBE.

```
data_PbSe3
_chemical_formula_sum 'Pb2 Se6'
_cell_length_a 3.9891
_cell_length_b 3.9891
_cell_length_c 14.4276
_cell_angle_alpha 90.00
_cell_angle_beta 90.00
_cell_angle_gamma 90.00
_space_group_name_H-M_alt 'I 4/m m m'
_space_group_IT_number 139
_space_group_name_Hall '-I 4 2'
loop_
_atom_site_label
_atom_site_type_symbol
_atom_site_fract_x
_atom_site_fract_y
_atom_site_fract_z
Pb1 Pb 0.0000 0.0000 0.0000
Se1 Se 0.0000 0.0000 0.5000
Se2 Se 0.0000 0.5000 0.2500
```

Values from the calculation:
The calculation puts the uncorrected formation energy at 67.1 meV per atom.

Entry 4:
BaSmCuO3: relaxed, GGA-PBE.

```
data_BaSmCuO3
_chemical_formula_sum 'Ba4 Sm4 Cu4 O12'
_cell_length_a 3.8483
_cell_length_b 13.5265
_cell_length_c 8.5208
_cell_angle_alpha 90.00
_cell_angle_beta 90.00
_cell_angle_gamma 90.00
_space_group_name_H-M_alt 'C m c m'
_space_group_IT_number 63
_space_group_name_Hall '-C 2c 2'
loop_
_atom_site_label
_atom_site_type_symbol
_atom_site_fract_x
_atom_site_fract_y
_atom_site_fract_z
Ba1 Ba 0.0000 0.1924 0.2500
Sm1 Sm 0.0000 0.5000 0.0000
Cu1 Cu 0.0000 0.1086 0.7500
O1 O 0.0000 0.1101 0.5370
O2 O 0.0000 0.4308 0.7500
```

Values from the calculation:
The calculation puts the uncorrected formation energy at -2358.6 meV per atom.

Entry 5:
Pu3PaNi8: relaxed, GGA-PBE.

```
data_Pu3PaNi8
_chemical_formula_sum 'Pu9 Pa3 Ni24'
_cell_length_a 5.0330
_cell_length_b 5.0330
_cell_length_c 24.6724
_cell_angle_alpha 90.00
_cell_angle_beta 90.00
_cell_angle_gamma 120.00
_space_group_name_H-M_alt 'R 3 m'
_space_group_IT_number 160
_space_group_name_Hall 'R 3 -2"'
loop_
_atom_site_label
_atom_site_type_symbol
_atom_site_fract_x
_atom_site_fract_y
_atom_site_fract_z
Pu1 Pu 0.0000 0.0000 0.0000
Pu2 Pu 0.0000 0.0000 0.1236
Pu3 Pu 0.0000 0.0000 0.6279
Pa1 Pa 0.0000 0.0000 0.5020
Ni1 Ni 0.0000 0.0000 0.3134
Ni2 Ni 0.0000 0.0000 0.8133
Ni3 Ni 0.0021 0.5010 0.0643
Ni4 Ni 0.1671 0.3341 0.8958
```

Values from the calculation:
The formation energy is -0.329 eV/atom.

Entry 6:
SrSb2Au: relaxed, GGA-PBE.

```
data_SrSb2Au
_chemical_formula_sum 'Sr4 Sb8 Au4'
_cell_length_a 7.5878
_cell_length_b 7.5878
_cell_length_c 7.5878
_cell_angle_alpha 90.00
_cell_angle_beta 90.00
_cell_angle_gamma 90.00
_space_group_name_H-M_alt 'F m -3 m'
_space_group_IT_number 225
_space_group_name_Hall '-F 4 2 3'
loop_
_atom_site_label
_atom_site_type_symbol
_atom_site_fract_x
_atom_site_fract_y
_atom_site_fract_z
Sr1 Sr 0.0000 0.0000 0.0000
Sb1 Sb 0.2500 0.2500 0.2500
Au1 Au 0.0000 0.0000 0.5000
```

Values from the calculation:
The calculation puts the uncorrected formation energy at -180.4 meV per atom.

| no. | total magnetization (Bohr magnetons per cell) |
| --- | --- |
| 1 | 0.00 |
| 2 | 0.05 |
| 3 | 0.00 |
| 4 | 0.00 |
| 5 | 49.63 |
| 6 | 0.00 |